(1)
La2PrTmP4 PBE-GGA relaxed; energy of formation = -12.361 eV per formula unit; symmetry = P2/m (10); DOS(E_F) = 0.0871 states/eV per atom
1.0
7.233 0.000 0.000
0.000 4.181 0.000
-2.409 0.000 6.822
La Pr Tm P
2 1 1 4
Direct
0.000 0.000 0.000
0.500 0.500 0.000
0.000 0.500 0.500
0.500 0.000 0.500
0.254 0.000 0.743
0.261 0.500 0.262
0.739 0.500 0.738
0.746 0.000 0.257

***

(2)
LaPr2TmP4 PBE-GGA relaxed; energy of formation = -12.217 eV per formula unit; symmetry = P2/m (10); DOS(E_F) = 0.0920 states/eV per atom
1.0
7.202 0.000 0.000
0.000 4.165 0.000
-2.394 0.000 6.796
La Pr Tm P
1 2 1 4
Direct
0.000 0.000 0.000
0.000 0.500 0.500
0.500 0.000 0.500
0.500 0.500 0.000
0.257 0.500 0.246
0.261 0.000 0.759
0.739 0.000 0.241
0.743 0.500 0.754

***

(3)
La4Pr3UP8 PBE-GGA relaxed; energy of formation = -23.432 eV per formula unit; symmetry = R-3m (166); DOS(E_F) = 0.7100 states/eV per atom
1.0
4.199 2.424 6.874
-4.199 2.424 6.874
0.000 -4.849 6.874
La Pr U P
4 3 1 8
Direct
0.000 0.000 0.000
0.000 0.500 0.500
0.500 0.000 0.500
0.500 0.500 0.000
0.000 0.000 0.500
0.000 0.500 0.000
0.500 0.000 0.000
0.500 0.500 0.500
0.249 0.249 0.249
0.258 0.740 0.740
0.260 0.260 0.742
0.260 0.742 0.260
0.740 0.258 0.740
0.740 0.740 0.258
0.742 0.260 0.260
0.751 0.751 0.751

***

(4)
La2PrUP4 PBE-GGA relaxed; energy of formation = -11.102 eV per formula unit; symmetry = P2/m (10); DOS(E_F) = 0.9869 states/eV per atom
1.0
7.206 0.000 0.000
0.000 4.147 0.000
-2.375 0.000 6.831
La Pr U P
2 1 1 4
Direct
0.000 0.000 0.000
0.500 0.500 0.000
0.000 0.500 0.500
0.500 0.000 0.500
0.260 0.000 0.737
0.267 0.500 0.268
0.733 0.500 0.732
0.740 0.000 0.263

***

Copy entry 1 word for word.
La2PrTmP4 PBE-GGA relaxed; energy of formation = -12.361 eV per formula unit; symmetry = P2/m (10); DOS(E_F) = 0.0871 states/eV per atom
1.0
7.233 0.000 0.000
0.000 4.181 0.000
-2.409 0.000 6.822
La Pr Tm P
2 1 1 4
Direct
0.000 0.000 0.000
0.500 0.500 0.000
0.000 0.500 0.500
0.500 0.000 0.500
0.254 0.000 0.743
0.261 0.500 0.262
0.739 0.500 0.738
0.746 0.000 0.257